Computed, not measured: a geometry-optimized LiVP2O8 structure at the GGA+U level of DFT.

Calculated values
E_tot: -168.334 eV per cell

Lattice parameters (Å, degrees): 8.249 4.962 7.976 59.04 90.00 90.00
Atoms (fractional coordinates):
O: 0.644 0.840 0.434
P: 0.177 0.815 0.240
O: 0.378 0.594 0.663
O: 0.134 0.770 0.773
O: 0.595 0.251 0.078
O: 0.878 0.406 0.837
P: 0.677 0.185 0.260
O: 0.856 0.840 0.934
P: 0.323 0.815 0.740
O: 0.405 0.749 0.922
V: 0.000 0.500 0.000
Li: 0.500 0.000 0.000
O: 0.905 0.251 0.578
O: 0.144 0.160 0.066
P: 0.823 0.185 0.760
O: 0.866 0.230 0.227
O: 0.095 0.749 0.422
V: 0.500 0.500 0.500
Li: 0.000 0.000 0.500
O: 0.356 0.160 0.566
O: 0.622 0.406 0.337
O: 0.366 0.770 0.273
O: 0.634 0.230 0.727
O: 0.122 0.594 0.163